Density functional theory data (PBE) for crystalline RbCo2Au at its relaxed geometry.

* E_form: 284 kJ/mol of formula units

Structure (CIF):
```
data_RbCo2Au
_chemical_formula_sum 'Rb4 Co8 Au4'
_cell_length_a 4.754
_cell_length_b 4.754
_cell_length_c 18.190
_cell_angle_alpha 90.00
_cell_angle_beta 90.00
_cell_angle_gamma 90.00
_space_group_name_H-M_alt 'I 41/a m d'
_space_group_IT_number 141
loop_
_space_group_symop_operation_xyz
'x,y,z'
'-x,-y,-z'
'-y+1/4,x+3/4,z+1/4'
'y+1/4,-x+3/4,-z+1/4'
'-x+1/2,-y,z+1/2'
'x+1/2,y,-z+1/2'
'y+1/4,-x+1/4,z+3/4'
'-y+1/4,x+1/4,-z+3/4'
'x,-y,-z'
'-x,y,z'
'-y+1/4,-x+1/4,-z+3/4'
'y+1/4,x+1/4,z+3/4'
'-x+1/2,y,-z+1/2'
'x+1/2,-y,z+1/2'
'y+1/4,x+3/4,-z+1/4'
'-y+1/4,-x+3/4,z+1/4'
'x+1/2,y+1/2,z+1/2'
'-x+1/2,-y+1/2,-z+1/2'
'-y+3/4,x+1/4,z+3/4'
'y+3/4,-x+1/4,-z+3/4'
'-x,-y+1/2,z'
'x,y+1/2,-z'
'y+3/4,-x+3/4,z+1/4'
'-y+3/4,x+3/4,-z+1/4'
'x+1/2,-y+1/2,-z+1/2'
'-x+1/2,y+1/2,z+1/2'
'-y+3/4,-x+3/4,-z+1/4'
'y+3/4,x+3/4,z+1/4'
'-x,y+1/2,-z'
'x,-y+1/2,z'
'y+3/4,x+1/4,-z+3/4'
'-y+3/4,-x+1/4,z+3/4'
loop_
_atom_site_label
_atom_site_type_symbol
_atom_site_fract_x
_atom_site_fract_y
_atom_site_fract_z
Rb1 Rb 0.000 0.250 0.375
Co1 Co 0.000 0.000 0.000
Au1 Au 0.000 0.250 0.875
```